{
  "formula": "ZnSi2Br",
  "functional": "SCAN",
  "state": "single point on PBEsol structure",
  "formation_energy_uncorrected_ev_per_atom": 0.664,
  "lattice_angstrom": [[-1.838, 2.070, -1.085], [-3.456, -1.337, 3.305], [1.737, 3.165, 3.096]],
  "species": ["Si", "Si", "Zn", "Br"],
  "fractional_positions": [[0.000, 0.000, 0.000], [0.500, 0.500, 0.000], [0.500, 0.000, 0.500], [0.000, 0.500, 0.500]]
}

=====

{
  "formula": "Al2BiSb2",
  "functional": "SCAN",
  "state": "single point on PBEsol structure",
  "formation_energy_uncorrected_ev_per_atom": 0.184,
  "lattice_angstrom": [[4.001, 0.000, 0.000], [0.000, 4.001, 0.000], [-2.001, -2.001, 7.767]],
  "species": ["Al", "Al", "Sb", "Sb", "Bi"],
  "fractional_positions": [[0.750, 0.250, 0.500], [0.250, 0.750, 0.500], [0.380, 0.380, 0.760], [0.620, 0.620, 0.240], [0.000, 0.000, 0.000]]
}

=====

{
  "formula": "TmCuSi",
  "functional": "SCAN",
  "state": "single point on PBEsol structure",
  "formation_energy_uncorrected_ev_per_atom": -0.708,
  "lattice_angstrom": [[-0.773, -2.929, -2.781], [3.681, 0.183, 1.824], [-2.302, -4.205, 5.068]],
  "species": ["Tm", "Tm", "Si", "Si", "Cu", "Cu"],
  "fractional_positions": [[0.000, 0.000, 0.015], [0.000, 0.000, 0.515], [0.667, 0.333, 0.745], [0.333, 0.667, 0.245], [0.667, 0.333, 0.296], [0.333, 0.667, 0.796]]
}

=====

{
  "formula": "MgZrTl2",
  "functional": "SCAN",
  "state": "single point on PBEsol structure",
  "formation_energy_kcal_per_mol_atoms": -3.0,
  "lattice_angstrom": [[-0.716, -3.024, -0.914], [0.289, -1.603, 5.078], [-5.322, 1.755, -1.638]],
  "species": ["Tl", "Tl", "Mg", "Zr"],
  "fractional_positions": [[0.000, 0.000, 0.000], [0.500, 0.000, 0.500], [0.000, 0.500, 0.500], [0.500, 0.500, 0.000]]
}

=====

{
  "formula": "NaHfMnPd2",
  "functional": "SCAN",
  "state": "single point on PBEsol structure",
  "formation_energy_kcal_per_mol_atoms": 18.5,
  "lattice_angstrom": [[4.370, 0.000, 0.000], [0.000, 4.499, 0.000], [0.000, 0.000, 4.499]],
  "species": ["Mn", "Na", "Hf", "Pd", "Pd"],
  "fractional_positions": [[0.500, 0.000, 0.000], [0.000, 0.000, 0.000], [0.500, 0.500, 0.500], [0.000, 0.500, 0.000], [0.000, 0.000, 0.500]]
}

=====

{
  "formula": "Li2SiCl",
  "functional": "SCAN",
  "state": "single point on PBEsol structure",
  "formation_energy_uncorrected_ev_per_atom": 0.215,
  "lattice_angstrom": [[-3.059, -3.369, 1.449], [-2.713, -2.293, -3.191], [0.854, -4.591, -1.000]],
  "species": ["Li", "Li", "Cl", "Si"],
  "fractional_positions": [[0.000, 0.000, 0.000], [0.750, 0.750, 0.750], [0.500, 0.500, 0.500], [0.250, 0.250, 0.250]]
}

=====

{
  "formula": "BaSnTeI2",
  "functional": "SCAN",
  "state": "single point on PBEsol structure",
  "formation_energy_uncorrected_ev_per_atom": -0.283,
  "lattice_angstrom": [[6.320, 0.000, 0.000], [0.000, 6.320, 0.000], [0.000, 0.000, 6.597]],
  "species": ["I", "I", "Sn", "Te", "Ba"],
  "fractional_positions": [[0.000, 0.500, 0.000], [0.500, 0.000, 0.000], [0.500, 0.500, 0.500], [0.000, 0.000, 0.500], [0.000, 0.000, 0.000]]
}

=====

{
  "formula": "AlSbMo2",
  "functional": "SCAN",
  "state": "single point on PBEsol structure",
  "formation_energy_uncorrected_ev_per_atom": 0.367,
  "lattice_angstrom": [[2.891, 0.011, 0.000], [-0.907, 2.746, 0.000], [0.000, 0.000, 8.441]],
  "species": ["Al", "Sb", "Mo", "Mo"],
  "fractional_positions": [[0.500, 0.500, 0.000], [0.500, 0.500, 0.500], [0.000, 0.000, 0.241], [0.000, 0.000, 0.759]]
}